Below is an optimized crystal structure of Tc5Sb, with properties calculated at the PBE level.

Results
**Raw formation energy**: 0.485 eV per atom
**Fermi-level density of states**: 1.22 states/eV per atom
**Distance to the lowest polymorph of the same formula**: 373 meV/atom

Unit cell a=5.1509 b=5.1509 c=5.1509 alpha=60.00 beta=60.00 gamma=60.00
With the nearest neighbours (Å) after each atom.
Atoms (fractional coordinates):
Tc  0.6252  0.6252  0.6252  6 Tc 2.57-2.58
Tc  0.1244  0.6252  0.6252  6 Tc 2.57-2.58
Tc  0.2500  0.2500  0.2500  12 Tc 3.02, 4 Sb 3.15
Tc  0.6252  0.1244  0.6252  6 Tc 2.57-2.58
Tc  0.6252  0.6252  0.1244  6 Tc 2.57-2.58
Sb  0.0000  0.0000  0.0000  16 Tc 3.02-3.15